Entry 1:
Below is a relaxed CoReNi crystal, with properties calculated at the GGA-PBE level.

abc: 2.6427 2.6427 6.2370
angles: 90.00 90.00 120.00
Space group P3m1 (No. 156)
Asymmetric unit:
Co 0.0000 0.0000 0.0000 x1
Re 0.6667 0.3333 0.6670 x1
Ni 0.3333 0.6667 0.3239 x1

Output
The calculation puts the energy of formation at 146 meV per atom. For the excess energy over the best structure of this formula in the dataset, the calculation gives 19.33 kJ/mol of atoms.

=====

Entry 2:
Below is a relaxed KSb2Pb2Au crystal, with properties calculated at the GGA-PBE level.

abc: 5.584 5.584 16.147
angles: 90.00 90.00 90.00
Space group I4/mmm (No. 139)
Asymmetric unit:
K 0.000 0.000 0.000 x2
Sb 0.000 0.000 0.339 x4
Pb 0.000 0.500 0.250 x4
Au 0.000 0.000 0.500 x2

Output
The total energy is -0.2530 Ry per atom.

=====

Entry 3:
Below is a relaxed LaPr2Y6 crystal, with properties calculated at the GGA-PBE level.

abc: 13.080 14.302 6.684
angles: 90.00 102.04 90.00
Space group C2/c (No. 15)
Asymmetric unit:
La 0.000 0.120 0.250 x4
Pr 0.140 0.472 0.373 x8
Y 0.033 0.310 0.000 x8
Y 0.135 0.085 0.816 x8
Y 0.241 0.298 0.734 x8

Output
The calculation puts the energy of formation at 96 meV per atom. For the excess energy over the best structure of this formula in the dataset, the calculation gives 9.04 kJ/mol of atoms.

=====

Entry 4:
Below is a relaxed PaV2Pt crystal, with properties calculated at the GGA-PBE level.

abc: 4.513 4.513 3.258
angles: 90.00 90.00 90.00
Space group P4/mmm (No. 123)
Asymmetric unit:
Pa 0.000 0.000 0.000 x1
V 0.000 0.500 0.500 x2
Pt 0.500 0.500 0.000 x1

Output
The calculation puts the energy of formation at -127 meV per atom. For the excess energy over the best structure of this formula in the dataset, the calculation gives 0.00 kJ/mol of atoms.

=====

Entry 5:
Below is a relaxed KBeAu2 crystal, with properties calculated at the GGA-PBE level.

abc: 4.2668 4.2668 18.5857
angles: 90.00 90.00 120.00
Space group R-3m (No. 166, hexagonal axes)
Asymmetric unit:
K 0.0000 0.0000 0.0000 x3
Be 0.0000 0.0000 0.5000 x3
Au 0.0000 0.0000 0.1979 x6

Output
The calculation puts the energy of formation at -100 meV per atom.

=====

Entry 6:
Below is a relaxed PrErAlCu crystal, with properties calculated at the GGA-PBE level.

abc: 7.254 7.254 7.254
angles: 90.00 90.00 90.00
Space group F-43m (No. 216)
Asymmetric unit:
Pr 0.000 0.000 0.000 x4
Er 0.000 0.000 0.500 x4
Al 0.250 0.250 0.250 x4
Cu 0.250 0.250 0.750 x4

Output
The calculation puts the energy of formation at -231 meV per atom.

=====

Entry 7:
Below is a relaxed NbNiS crystal, with properties calculated at the GGA-PBE level.

abc: 8.682 3.270 6.207
angles: 90.00 103.02 90.00
Space group Cm (No. 8)
Asymmetric unit:
Nb 0.000 0.000 0.000 x2
Nb 0.224 0.000 0.608 x2
Ni 0.248 0.500 0.257 x2
Ni 0.487 0.000 0.348 x2
S 0.203 0.500 0.909 x2
S 0.433 0.500 0.571 x2

Output
For the excess energy over the best structure of this formula in the dataset, the calculation gives 1.46 kJ/mol of atoms.

=====

Entry 8:
Below is a relaxed La8Ge3Se4S crystal, with properties calculated at the GGA-PBE level.

abc: 8.7052 8.7052 21.3580
angles: 90.00 90.00 120.00
Space group R-3m (No. 166, hexagonal axes)
Asymmetric unit:
La 0.0000 0.0000 0.2476 x6
La 0.0010 0.5005 0.7535 x18
Ge 0.0000 0.5000 0.5000 x9
Se 0.0000 0.0000 0.0000 x3
Se 0.0000 0.5000 0.0000 x9
S 0.0000 0.0000 0.5000 x3

Output
The total energy is -0.4481 Ry per atom.

=====

Calculated density of states at the Fermi level in order - 1.071, 0.372, 1.449, 2.020, 0.431, 1.080, 0.458, 0.281 states/eV per atom